## La2MnPd9 (GGA-PBE)

Data for a geometry-optimized La2MnPd9 structure.

The structure in POSCAR format:
```
La2MnPd9
1.0
4.191 0.000 0.000
0.000 4.191 0.000
0.000 0.000 12.074
Pd La Mn
9 2 1
Cartesian
2.096 0.000 10.286
0.000 2.096 10.286
2.096 2.096 0.000
0.000 2.096 6.037
2.096 2.096 8.148
0.000 2.096 1.787
2.096 0.000 1.787
2.096 2.096 3.926
2.096 0.000 6.037
0.000 0.000 8.185
0.000 0.000 3.888
0.000 0.000 0.000
```

Results
The energy of formation is -0.58 eV per atom. The value obtained for the calculated density is 10.1 Mg/m³. The total energy comes out at -6.061 eV per atom.